VASP calculation (PBE) on a relaxed structure of Tb2Ge4Ir3.

abc: 5.733 14.960 7.461
angles: 90.00 90.00 90.00
Space group Cmce (No. 64)
Inequivalent atoms, fractional coordinates:
Tb 0.000 0.110 0.090 x8
Ge 0.000 0.181 0.471 x8
Ge 0.250 0.058 0.750 x8
Ir 0.000 0.000 0.500 x4
Ir 0.250 0.226 0.750 x8

Results
ΔE_f in eV/atom: -0.75
M_tot in μB per formula unit: 0.00
ΔE to the lowest computed polymorph in meV/atom: 0

=====

VASP calculation (PBE) on a relaxed structure of Pm8Ga3GeBr4.

abc: 8.5964 8.5964 21.3495
angles: 90.00 90.00 120.00
Space group R-3m (No. 166, hexagonal axes)
Inequivalent atoms, fractional coordinates:
Pm 0.0000 0.0000 0.2417 x6
Pm 0.0010 0.5005 0.2404 x18
Ga 0.0000 0.5000 0.5000 x9
Ge 0.0000 0.0000 0.5000 x3
Br 0.0000 0.0000 0.0000 x3
Br 0.0000 0.5000 0.0000 x9

Results
Raw formation energy in meV per atom: -957
M_tot in μB per formula unit: 0.00

=====

VASP calculation (PBE) on a relaxed structure of ErThNiRh.

abc: 6.950 6.950 6.950
angles: 90.00 90.00 90.00
Space group F-43m (No. 216)
Inequivalent atoms, fractional coordinates:
Er 0.000 0.000 0.000 x4
Th 0.000 0.000 0.500 x4
Ni 0.250 0.250 0.750 x4
Rh 0.250 0.250 0.250 x4

Results
ΔE_f in eV/atom: -0.58
M_tot in μB per formula unit: 0.00
ΔE to the lowest computed polymorph in meV/atom: 117

=====

VASP calculation (PBE) on a relaxed structure of SmDyHgRu.

abc: 3.508 3.508 7.623
angles: 90.00 90.00 90.00
Space group P4mm (No. 99)
Inequivalent atoms, fractional coordinates:
Sm 0.000 0.000 0.000 x1
Dy 0.000 0.000 0.560 x1
Hg 0.500 0.500 0.290 x1
Ru 0.500 0.500 0.773 x1

Results
ΔE_f in eV/atom: -0.43
M_tot in μB per formula unit: 0.00
ΔE to the lowest computed polymorph in meV/atom: 0

=====

VASP calculation (PBE) on a relaxed structure of AlInAsN2.

abc: 4.096 4.096 5.825
angles: 90.00 90.00 90.00
Space group P4/mmm (No. 123)
Inequivalent atoms, fractional coordinates:
Al 0.000 0.000 0.000 x1
In 0.000 0.000 0.500 x1
As 0.500 0.500 0.000 x1
N 0.000 0.500 0.500 x2

Results
Raw formation energy in meV per atom: 1642
M_tot in μB per formula unit: 1.35

=====

VASP calculation (PBE) on a relaxed structure of LiNd4Ga12.

abc: 8.859 8.859 8.859
angles: 90.00 90.00 90.00
Space group Im-3m (No. 229)
Inequivalent atoms, fractional coordinates:
Li 0.000 0.000 0.000 x2
Nd 0.250 0.250 0.250 x8
Ga 0.000 0.000 0.301 x12
Ga 0.000 0.250 0.500 x12

Results
ΔE_f in eV/atom: -0.54
M_tot in μB per formula unit: 0.00